Entry 1:
Density functional theory data (GGA-PBE) for a relaxed structure of In3Hg5Bi2.

Unit cell a=5.612 b=11.558 c=11.577 alpha=126.92 beta=96.88 gamma=96.60
Fractional positions:
In  0.636  0.504  0.797
In  0.138  0.796  0.503
In  0.364  0.496  0.203
In  0.862  0.204  0.497
In  0.250  0.046  0.953
In  0.750  0.954  0.047
Hg  0.593  0.258  0.945
Hg  0.093  0.946  0.259
Hg  0.407  0.742  0.055
Hg  0.907  0.054  0.741
Hg  0.028  0.711  0.802
Hg  0.972  0.289  0.198
Hg  0.751  0.547  0.453
Hg  0.249  0.453  0.547
Hg  0.472  0.198  0.289
Hg  0.528  0.802  0.711
Bi  0.883  0.603  0.142
Bi  0.383  0.142  0.604
Bi  0.117  0.397  0.858
Bi  0.617  0.858  0.396

---

Entry 2:
Density functional theory data (GGA-PBE) for a relaxed structure of InHg2Bi2.

Unit cell a=4.184 b=4.184 c=9.195 alpha=76.85 beta=76.85 gamma=90.00
Fractional positions:
In  0.000  0.000  0.000
Bi  0.410  0.410  0.180
Bi  0.590  0.590  0.820
Hg  0.750  0.250  0.500
Hg  0.250  0.750  0.500

**Offset from the most stable computed form**: 0.035 eV per atom

---

Number 1: final energy -34.224 eV/cell, ΔH_f (0 K) 0.037 eV/atom. Number 2: final energy -10.619 eV/cell, ΔH_f (0 K) 0.097 eV/atom.